Record 1
The following is a DFT calculation (GGA-PBE) of a relaxed UMnRe2 crystal.

Summary:
The space group is P4/mmm, No. 123. The value obtained for the formation energy is 149 meV per atom. Its total magnetic moment is 0.46 μB per formula unit. For the energy above the most stable polymorph in this dataset, the calculation gives 3 meV/atom.

a = 2.9309 Å, b = 2.9309 Å, c = 7.3439 Å
α = 90.00°, β = 90.00°, γ = 90.00°
Closest atoms and distances in Å follow each position.
Fractional positions:
Re 0.0000 0.0000 0.7967  4 Mn 2.55
Re 0.0000 0.0000 0.2033  4 Mn 2.55
Mn 0.5000 0.5000 0.0000  8 Re 2.55
U 0.5000 0.5000 0.5000  4 U 2.93, 8 Re 3.01

---

Record 2
The following is a DFT calculation (GGA-PBE) of a relaxed YSeI2O crystal.

Summary:
The calculation puts the energy relative to the elements, uncorrected at -0.21 eV/atom. The space group is P4/mmm, No. 123. Its total magnetic moment is 0.00 μB per formula unit. For the energy above the most stable polymorph in this dataset, the calculation gives 619 meV/atom.

a = 5.9443 Å, b = 5.9443 Å, c = 3.8523 Å
α = 90.00°, β = 90.00°, γ = 90.00°
Closest atoms and distances in Å follow each position.
Fractional positions:
Y 0.5000 0.5000 0.5000  8 I 3.54, 2 Y 3.85
O 0.0000 0.0000 0.5000  2 Se 1.93
I 0.0000 0.5000 0.0000  2 Se 2.97
I 0.5000 0.0000 0.0000  2 Se 2.97
Se 0.0000 0.0000 0.0000  2 O 1.93

---

Record 3
The following is a DFT calculation (GGA-PBE) of a relaxed ZrNbAsSe2 crystal.

Summary:
The calculation puts the energy relative to the elements, uncorrected at 0.31 eV/atom. The space group is P4/mmm, No. 123. Its total magnetic moment is 2.34 μB per formula unit. For the energy above the most stable polymorph in this dataset, the calculation gives 206 meV/atom.

a = 5.1108 Å, b = 5.1108 Å, c = 5.1896 Å
α = 90.00°, β = 90.00°, γ = 90.00°
Closest atoms and distances in Å follow each position.
Fractional positions:
Zr 0.0000 0.0000 0.0000  4 Se 2.56, 2 As 2.59
Se 0.0000 0.5000 0.0000  2 Zr 2.56
Se 0.5000 0.0000 0.0000  2 Zr 2.56
As 0.0000 0.0000 0.5000  2 Zr 2.59
Nb 0.5000 0.5000 0.5000  4 As 3.61, 8 Se 3.64

---

Record 4
The following is a DFT calculation (GGA-PBE) of a relaxed Pm2Y3Ga4 crystal.

Summary:
The space group is P2_1/c, No. 14. The value obtained for the formation energy is -596 meV per atom. Its total magnetic moment is 0.00 μB per formula unit. For the energy above the most stable polymorph in this dataset, the calculation gives 0 meV/atom.

a = 7.5865 Å, b = 7.9926 Å, c = 8.0210 Å
α = 90.00°, β = 90.00°, γ = 106.62°
Closest atoms and distances in Å follow each position.
Fractional positions:
Ga 0.6321 0.9185 0.0284  1 Ga 2.72, 2 Y 2.95-2.96
Ga 0.1321 0.9185 0.4716  1 Ga 2.72, 2 Y 2.95-2.96
Ga 0.6215 0.5075 0.6204  1 Ga 2.65
Ga 0.8679 0.0815 0.5284  1 Ga 2.72, 2 Y 2.95-2.96
Ga 0.8785 0.4925 0.1204  1 Ga 2.65
Ga 0.3679 0.0815 0.9716  1 Ga 2.72, 2 Y 2.95-2.96
Ga 0.1215 0.5075 0.8796  1 Ga 2.65
Ga 0.3785 0.4925 0.3796  1 Ga 2.65
Y 0.2487 0.7602 0.1753  6 Ga 2.95-3.09
Y 0.7513 0.2398 0.8247  6 Ga 2.95-3.09
Y 0.2513 0.2398 0.6753  6 Ga 2.95-3.09
Y 0.0000 0.5000 0.5000  6 Ga 3.05-3.21
Y 0.5000 0.5000 0.0000  6 Ga 3.05-3.21
Y 0.7487 0.7602 0.3247  6 Ga 2.95-3.09
Pm 0.5762 0.1921 0.3173  6 Ga 3.11-3.45
Pm 0.9238 0.8079 0.8173  6 Ga 3.11-3.45
Pm 0.0762 0.1921 0.1827  6 Ga 3.11-3.45
Pm 0.4238 0.8079 0.6827  6 Ga 3.11-3.45

---

Record 5
The following is a DFT calculation (GGA-PBE) of a relaxed SnBSb2Te crystal.

Summary:
The calculation puts the energy relative to the elements, uncorrected at 1.61 eV/atom. The space group is P4/mmm, No. 123. Its total magnetic moment is 0.00 μB per formula unit. For the energy above the most stable polymorph in this dataset, the calculation gives 1000 meV/atom.

a = 5.6612 Å, b = 5.6612 Å, c = 5.7276 Å
α = 90.00°, β = 90.00°, γ = 90.00°
Closest atoms and distances in Å follow each position.
Fractional positions:
B 0.5000 0.5000 0.5000  4 Te 4.00, 8 Sb 4.03
Te 0.0000 0.0000 0.5000  2 Sn 2.86
Sb 0.5000 0.0000 0.0000  2 Sn 2.83
Sb 0.0000 0.5000 0.0000  2 Sn 2.83
Sn 0.0000 0.0000 0.0000  4 Sb 2.83, 2 Te 2.86

---

Record 6
The following is a DFT calculation (GGA-PBE) of a relaxed Sm4Ga2Sn5 crystal.

Summary:
The space group is P2/m, No. 10. The value obtained for the formation energy is -662 meV per atom. Its total magnetic moment is 0.00 μB per formula unit.

a = 4.3696 Å, b = 7.4795 Å, c = 8.9090 Å
α = 88.72°, β = 90.00°, γ = 90.00°
Closest atoms and distances in Å follow each position.
Fractional positions:
Sm 0.5000 0.7783 0.8634  2 Ga 3.21, 8 Sn 3.24-3.39
Sm 0.5000 0.2217 0.1366  2 Ga 3.21, 8 Sn 3.24-3.39
Sm 0.5000 0.7623 0.3989  4 Ga 3.18-3.26, 6 Sn 3.26-3.54
Sm 0.5000 0.2377 0.6011  4 Ga 3.18-3.26, 6 Sn 3.26-3.54
Sn 0.0000 0.1249 0.8683  1 Ga 2.73, 1 Sn 2.97
Sn 0.0000 0.4488 0.3403  1 Ga 2.73, 2 Sn 2.96-3.05
Sn 0.0000 0.8751 0.1317  1 Ga 2.73, 1 Sn 2.97
Sn 0.0000 0.5000 0.0000  4 Sn 3.05-3.06, 4 Sm 3.24
Sn 0.0000 0.5512 0.6597  1 Ga 2.73, 2 Sn 2.96-3.05
Ga 0.0000 0.9140 0.6223  1 Ga 2.51, 2 Sn 2.73
Ga 0.0000 0.0860 0.3777  1 Ga 2.51, 2 Sn 2.73